1.
Below is an optimized crystal structure of Ge3MoCl, with properties calculated at the PBE level.

abc: 4.911 4.911 4.911
angles: 90.00 90.00 90.00
Fractional coordinates of all 5 atoms:
Ge (0.000, 0.000, 0.500)
Ge (0.500, 0.000, 0.000)
Ge (0.000, 0.500, 0.000)
Mo (0.000, 0.000, 0.000)
Cl (0.500, 0.500, 0.500)

Values from the calculation:
- SG = Pm-3m
- energy above the lowest structure with this stoichiometry (meV/atom) = 0
- Fermi-level density of states (states/eV/f.u.) = 3.3
- formation energy from raw total energies (meV/atom) = 124



2.
Below is an optimized crystal structure of MnBMo2S, with properties calculated at the PBE level.

abc: 4.322 3.602 4.322
angles: 90.00 90.00 90.00
Fractional coordinates of all 5 atoms:
Mo (0.500, 0.000, 0.000)
Mo (0.000, 0.000, 0.500)
S (0.500, 0.500, 0.500)
B (0.000, 0.000, 0.000)
Mn (0.000, 0.500, 0.000)

Values from the calculation:
- SG = P4/mmm
- Fermi-level density of states (states/eV/f.u.) = 5.7
- formation energy from raw total energies (meV/atom) = 529



3.
Below is an optimized crystal structure of NdMg3Rh, with properties calculated at the PBE level.

abc: 6.259 6.251 6.438
angles: 90.00 90.00 71.11
Fractional coordinates of all 10 atoms:
Mg (0.074, 0.276, 0.552)
Mg (0.486, 0.689, 0.052)
Mg (0.062, 0.701, 0.802)
Mg (0.498, 0.265, 0.302)
Mg (0.498, 0.265, 0.803)
Mg (0.062, 0.701, 0.303)
Rh (0.736, 0.938, 0.052)
Rh (0.825, 0.028, 0.552)
Nd (0.002, 0.205, 0.052)
Nd (0.559, 0.760, 0.552)

Values from the calculation:
- calculated formation energy (eV per atom) = -0.22
- SG = P2_1/m
- energy above the lowest structure with this stoichiometry (meV/atom) = 0
- Fermi-level density of states (states/eV/f.u.) = 3.4